# 1
The following is a GGA-PBE calculation of PaFe2Si2B after structural relaxation, from the Alexandria database.

Cell and atoms, written as POSCAR:
```
PaFe2Si2B
1.0
3.9015 0.0000 0.0000
0.0000 3.9015 0.0000
0.0000 0.0000 5.2050
Pa Fe Si B
1 2 2 1
Direct
0.0000 0.0000 0.0000
0.0000 0.5000 0.5000
0.5000 0.0000 0.5000
0.5000 0.5000 0.2285
0.5000 0.5000 0.7715
0.0000 0.0000 0.5000
```

## Properties
* formation energy without anion corrections: -0.5427 eV/atom
* N(E_F): 0.889 states/eV per atom

=====

# 2
The following is a GGA-PBE calculation of LaCoHg2 after structural relaxation, from the Alexandria database.

Cell and atoms, written as POSCAR:
```
LaCoHg2
1.0
4.5888 0.0000 0.0000
-2.2944 3.9740 0.0000
0.0000 0.0000 15.7148
La Co Hg
3 3 6
Direct
0.0000 0.0000 0.0000
0.3333 0.6667 0.6667
0.6667 0.3333 0.3333
0.0000 0.0000 0.5000
0.3333 0.6667 0.1667
0.6667 0.3333 0.8333
0.0000 0.0000 0.2162
0.0000 0.0000 0.7838
0.3333 0.6667 0.4505
0.3333 0.6667 0.8829
0.6667 0.3333 0.1171
0.6667 0.3333 0.5495
```

## Properties
* N(E_F): 1.746 states/eV per atom
* formation energy: 7 meV/atom

=====

# 3
The following is a GGA-PBE calculation of Sm8Tl2Pb after structural relaxation, from the Alexandria database.

Cell and atoms, written as POSCAR:
```
Sm8Tl2Pb
1.0
8.7262 -2.5043 0.0000
8.7262 2.5043 0.0000
-3.0108 0.0000 7.7445
Sm Tl Pb
8 2 1
Direct
0.0539 0.0539 0.2283
0.1440 0.1440 0.7058
0.3207 0.3207 0.5623
0.4040 0.4040 0.0477
0.5960 0.5960 0.9523
0.6793 0.6793 0.4377
0.8560 0.8560 0.2942
0.9461 0.9461 0.7717
0.2233 0.2233 0.1502
0.7767 0.7767 0.8498
0.5000 0.5000 0.5000
```

## Properties
* N(E_F): 1.132 states/eV per atom
* formation energy: -228 meV/atom

=====

| no. | calculated total energy (eV for the cell shown) |
| --- | --- |
| 1 | -47.20 |
| 2 | -37.83 |
| 3 | -48.70 |